VASP calculation (SCAN) on a crystal of ReNi2Te relaxed with PBEsol.

abc: 2.879 2.879 24.538
angles: 90.00 90.00 120.00
Element x y z (fractional)
Re  0.000  0.000  0.000
Re  0.333  0.667  0.667
Re  0.667  0.333  0.333
Ni  0.000  0.000  0.253
Ni  0.000  0.000  0.747
Ni  0.333  0.667  0.413
Ni  0.333  0.667  0.920
Ni  0.667  0.333  0.080
Ni  0.667  0.333  0.587
Te  0.000  0.000  0.500
Te  0.333  0.667  0.167
Te  0.667  0.333  0.833

The volume comes out at 176 Å³/cell. As for the uncorrected energy: -415.57 eV per cell.